Entry 1:
Tl2Cd2HgPb after structural relaxation, computed with GGA-PBE.

## Properties
Volume, A^3/atom: 28.947
SG: Ibam, No. 72
E_form, eV per formula unit: 0.3

Geometry as POSCAR:
```
Tl2Cd2HgPb
1.0
-3.108 8.524 3.278
3.108 -8.524 3.278
3.108 8.524 -3.278
Tl Cd Hg Pb
4 4 2 2
Cartesian
1.297 3.040 0.000
1.297 -3.040 3.278
1.811 11.564 0.000
1.811 5.484 3.278
4.401 2.350 0.000
1.293 6.173 0.000
1.816 2.350 3.278
-1.293 6.173 3.278
3.108 0.000 1.639
0.000 8.524 1.639
0.000 0.000 1.639
0.000 0.000 4.916
```

***

Entry 2:
V2InCl6 after structural relaxation, computed with GGA-PBE.

## Properties
Uncorrected formation energy, eV per atom: -1.15
Volume, A^3/atom: 27.231
SG: P-31m, No. 162

Geometry as POSCAR:
```
V2InCl6
1.0
6.379 0.000 0.000
-3.190 5.525 0.000
0.000 0.000 6.954
V In Cl
2 1 6
Cartesian
0.000 3.683 0.000
3.190 1.842 0.000
0.000 0.000 3.477
-1.195 2.070 1.380
-1.994 3.454 5.574
2.391 0.000 1.380
1.195 2.070 5.574
3.989 0.000 5.574
1.994 3.454 1.380
```

***

Entry 3:
Pu5Pd2Rh2 after structural relaxation, computed with GGA-PBE.

## Properties
Volume, A^3/atom: 21.948
SG: Ima2, No. 46
E_form, eV per formula unit: -2.1

Geometry as POSCAR:
```
Pu5Pd2Rh2
1.0
-5.643 4.404 3.974
5.643 -4.404 3.974
5.643 4.404 -3.974
Pu Pd Rh
10 4 4
Cartesian
6.857 2.204 -1.728
4.429 -2.199 2.246
0.988 1.229 0.000
4.655 1.229 0.000
-1.214 2.199 2.246
6.857 2.199 2.246
2.822 3.623 1.371
2.822 0.780 5.346
0.988 3.175 3.974
4.655 3.175 3.974
4.196 3.805 -1.261
7.090 -0.599 2.714
1.447 0.599 2.714
4.196 0.599 2.714
8.465 0.882 0.328
0.000 4.404 1.073
0.000 0.000 5.048
-2.822 3.521 4.303
```

***

Entry 4:
TiCrAgS4 after structural relaxation, computed with GGA-PBE.

## Properties
Uncorrected formation energy, eV per atom: -0.65
Volume, A^3/atom: 22.934
SG: Pnma, No. 62

Geometry as POSCAR:
```
TiCrAgS4
1.0
5.975 0.000 0.000
0.000 9.341 0.000
0.000 0.000 11.505
Ti Cr Ag S
4 4 4 16
Cartesian
0.842 2.335 0.391
2.145 7.006 6.144
3.830 2.335 5.362
5.133 7.006 11.114
0.065 2.335 3.081
2.923 7.006 8.833
3.052 2.335 2.672
5.910 7.006 8.425
1.118 2.335 7.317
1.869 7.006 1.565
4.106 2.335 9.940
4.857 7.006 4.188
1.369 7.006 10.598
1.424 7.006 4.055
1.491 5.386 7.661
1.491 8.626 7.661
1.497 0.716 1.909
1.497 3.955 1.909
1.563 2.335 9.807
1.619 2.335 4.846
4.356 7.006 6.659
4.412 7.006 1.698
4.478 5.386 9.596
4.478 8.626 9.596
4.484 0.716 3.844
4.484 3.955 3.844
4.551 2.335 7.450
4.606 2.335 0.907
```

***

no.,D(E_F) (states/eV per cell),size of the total moment (μB/atom),ρ (Mg/m³)
1,4.50,0.00,10.0
2,9.86,0.56,2.9
3,67.41,3.06,13.8
4,2.59,0.43,3.5